No. 1
4
Lattice="-3.1743 -0.8240 2.0083 0.6092 4.6365 2.8654 -1.5898 5.2362 -0.3643" Properties=species:S:1:pos:R:3 comment="PBE YTmCo2, relaxed" e_tot_ev_per_atom=-6.512 pbc="T T T"
Y -2.4244 8.0174 3.1396
Co -2.1373 5.1269 2.4073
Co -0.4342 4.3715 1.1075
Tm -0.1396 1.4056 0.3561

***

No. 2
6
Lattice="0.0000 3.5553 3.5553 3.5553 0.0000 3.5553 3.5553 3.5553 0.0000" Properties=species:S:1:pos:R:3 comment="PBE YTmCo4, relaxed" e_tot_ev_per_atom=-6.779 pbc="T T T"
Tm 3.5553 3.5553 3.5553
Co 6.2193 6.2193 6.2193
Co 4.4467 4.4467 6.2193
Co 6.2193 4.4467 4.4467
Y 1.7777 1.7777 1.7777
Co 4.4467 6.2193 4.4467

***

No. 3
12
Lattice="2.4718 1.4271 8.0294 -2.4718 1.4271 8.0294 0.0000 -2.8542 8.0294" Properties=species:S:1:pos:R:3 comment="PBE YTm2Co9, relaxed" e_tot_ev_per_atom=-6.819 pbc="T T T"
Co 0.0000 0.0000 12.0441
Co 1.2492 0.7212 14.0805
Co 1.2492 -0.7212 10.0077
Co 0.0000 0.0000 16.0187
Co 0.0000 1.4424 10.0078
Tm 0.0000 0.0000 3.3742
Co -1.2492 -0.7212 10.0077
Y 0.0000 0.0000 0.0000
Co -1.2492 0.7212 14.0805
Co 0.0000 0.0000 8.0695
Co 0.0000 -1.4424 14.0805
Tm 0.0000 0.0000 20.7141

***

No. 4
13
Lattice="2.0966 -6.0671 -1.2774 2.4167 5.1843 3.1812 -4.8038 -1.5188 4.1777" Properties=species:S:1:pos:R:3 comment="PBE TmZn8Co4, relaxed" e_tot_ev_per_atom=-3.478 pbc="T T T"
Zn -2.0129 -2.7806 3.4827
Zn -1.9413 -0.2624 4.4805
Zn -0.8070 1.2393 2.4880
Co 1.2084 2.5921 1.5906
Zn -0.9153 -2.5647 0.9806
Co -2.4019 -0.7594 2.0889
Zn -1.5800 2.4262 4.8709
Zn -1.7920 -5.0212 1.9198
Zn 1.7224 0.3789 2.5989
Co -0.1453 -1.2008 3.0408
Co 1.0483 -3.0335 -0.6387
Tm 0.0000 0.0000 0.0000
Zn 1.6508 -2.1392 1.6010

***

No. 5
2
Lattice="-0.5826 -0.1263 2.7967 2.1551 -0.7491 3.3389 0.7981 3.8031 0.3380" Properties=species:S:1:pos:R:3 comment="PBE UCo, relaxed" e_tot_ev_per_atom=-8.518 pbc="T T T"
U 1.4766 1.5270 1.8385
Co 0.0000 0.0000 0.0000

***

No. 6
2
Lattice="0.0000 2.6146 2.6146 2.6146 0.0000 2.6146 2.6146 2.6146 0.0000" Properties=species:S:1:pos:R:3 comment="PBE UCo, relaxed" e_tot_ev_per_atom=-8.942 pbc="T T T"
U 2.6146 2.6146 2.6146
Co 0.0000 0.0000 0.0000

***

No. 7
4
Lattice="1.4029 1.3548 3.7694 -2.7043 0.4237 3.2434 0.1876 -2.6824 3.2835" Properties=species:S:1:pos:R:3 comment="PBE UCo3, relaxed" e_tot_ev_per_atom=-8.091 pbc="T T T"
Co -0.5569 -0.4520 5.1482
Co 0.0000 0.0000 0.0000
Co -0.2785 -0.2260 2.5741
U -0.8353 -0.6779 7.7223

***

No. 8
8
Lattice="-3.1480 3.1480 -3.1480 3.1480 3.1480 3.1480 3.1480 -3.1480 -3.1480" Properties=species:S:1:pos:R:3 comment="PBE UCo, relaxed" e_tot_ev_per_atom=-9.463 pbc="T T T"
U 0.2151 -0.2151 -3.3631
Co 1.2776 4.4256 -1.2776
Co 1.2776 1.8704 -1.8704
U 0.2151 0.2151 0.2151
Co 1.8704 1.8704 1.8704
Co -1.2776 1.2776 -1.8704
U 2.9330 -0.2151 -2.9330
U 2.9330 0.2151 -0.2151

***

No. 9
2
Lattice="0.3136 -3.8901 0.9801 0.7476 -1.0612 3.8087 -2.8740 -1.7586 2.1997" Properties=species:S:1:pos:R:3 comment="PBE UCo, relaxed" e_tot_ev_per_atom=-8.094 pbc="T T T"
U -0.4532 -1.6775 1.7472
Co 0.0000 0.0000 0.0000

***

No. 10
2
Lattice="1.4244 0.8224 4.5492 -1.4244 0.8224 4.5492 0.0000 -1.6448 4.5492" Properties=species:S:1:pos:R:3 comment="PBE UCo, relaxed" e_tot_ev_per_atom=-8.428 pbc="T T T"
U 0.0000 0.0000 6.8238
Co 0.0000 0.0000 0.0000

***

No. 11
14
Lattice="-2.5392 2.8250 6.6604 -2.0394 -0.5379 -7.3716 -1.0475 -7.3947 1.7349" Properties=species:S:1:pos:R:3 comment="PBE U6Co, relaxed" e_tot_ev_per_atom=-10.725 pbc="T T T"
U -4.5825 -2.9110 1.3687
Co -1.1446 0.5718 -0.1778
U -2.4944 -0.6999 -4.9633
U -2.5838 -0.0986 -2.4541
U -3.0423 -5.0090 3.4778
U -3.8798 -2.5065 -1.8544
U -1.7464 -2.6011 2.8781
U -2.1710 -5.1420 -2.5589
Co -3.4339 1.7153 -0.5334
U -3.1317 -4.4077 5.9870
U -1.0436 -2.1966 -0.3449
U -3.4551 0.0344 3.5826
U -3.3891 -0.6753 0.8754
U -2.2370 -4.4323 0.1484

***

No. 12
4
Lattice="-3.6120 0.3493 -2.4275 1.1227 -3.8615 1.6999 -2.7440 1.0673 4.2366" Properties=species:S:1:pos:R:3 comment="PBE UCo, relaxed" e_tot_ev_per_atom=-8.682 pbc="T T T"
Co -1.6560 -1.9909 2.1776
U -1.2005 0.4670 1.8536
U -3.0281 -1.4573 4.2960
Co -2.5725 1.0006 3.9718

***

No. 13
8
Lattice="-3.8143 -1.2849 -3.3936 -0.2741 -1.6151 5.0033 -2.1595 3.6290 1.0532" Properties=species:S:1:pos:R:3 comment="PBE UCo3, relaxed" e_tot_ev_per_atom=-8.379 pbc="T T T"
U -3.0738 1.2166 2.9942
Co -2.8896 2.0492 0.5032
Co -3.3583 -1.3203 2.1597
Co -5.0069 0.5473 1.3369
U -3.1741 -0.4878 -0.3313
Co -1.2409 0.1816 1.3260
Co -1.3829 -0.6548 3.9172
Co -4.8650 1.3837 -1.2543

***

No. 14
12
Lattice="4.7679 0.0000 0.0000 -2.3839 4.1291 0.0000 -2.3839 1.3764 7.9927" Properties=species:S:1:pos:R:3 comment="PBE UCo3, relaxed" e_tot_ev_per_atom=-8.316 pbc="T T T"
Co -1.1947 2.0630 1.9764
Co 0.0000 2.7527 0.0112
Co -1.1947 3.4425 6.0162
U -2.3839 4.1291 3.3725
Co 1.1947 2.0630 1.9764
Co 0.0000 4.1323 1.9764
Co 0.0000 2.7528 7.9815
Co 0.0000 1.3732 6.0162
U 0.0000 0.0000 0.0000
Co 1.1947 3.4425 6.0162
Co 0.0000 2.7527 3.9963
U 2.3839 1.3764 4.6202

***

No. 15
2
Lattice="3.0858 0.0000 0.0000 -1.5429 2.6723 0.0000 0.0000 0.0000 3.9975" Properties=species:S:1:pos:R:3 comment="PBE UCo, relaxed" e_tot_ev_per_atom=-8.943 pbc="T T T"
Co 1.5429 0.8908 2.9982
U 0.0000 1.7816 0.9994

***

No. 16
3
Lattice="0.0000 3.0359 3.0359 3.0359 0.0000 3.0359 3.0359 3.0359 0.0000" Properties=species:S:1:pos:R:3 comment="PBE UCoW, relaxed" relative_energy_mev_per_atom=445 e_tot_ev_per_atom=-9.384 pbc="T T T"
Co 1.5180 1.5180 1.5180
W 4.5539 4.5539 4.5539
U 0.0000 0.0000 0.0000

***

No. 17
3
Lattice="1.5368 -1.9127 3.4773 -2.5791 -0.8494 3.2769 -1.0816 -4.0232 0.8694" Properties=species:S:1:pos:R:3 comment="PBE UCoW, relaxed" relative_energy_mev_per_atom=0 e_tot_ev_per_atom=-9.829 pbc="T T T"
Co 0.0000 0.0000 0.0000
U -0.5310 -1.6963 1.9059
W -1.5930 -5.0889 5.7177

***

No. 18
3
Lattice="0.0637 2.9775 3.3214 0.2042 4.3609 -0.9174 -3.5491 2.6018 0.7315" Properties=species:S:1:pos:R:3 comment="PBE YUCo, relaxed" e_tot_ev_per_atom=-7.300 pbc="T T T"
U 0.0000 0.0000 0.0000
Y -2.4609 7.4552 2.3516
Co -0.8203 2.4851 0.7839

***

No. 19
3
Lattice="0.0000 3.1412 3.1412 3.1412 0.0000 3.1412 3.1412 3.1412 0.0000" Properties=species:S:1:pos:R:3 comment="PBE UZnCo, relaxed" e_tot_ev_per_atom=-5.641 pbc="T T T"
Zn 4.7118 4.7118 4.7118
U 0.0000 0.0000 0.0000
Co 1.5706 1.5706 1.5706

***

No. 20
3
Lattice="0.0000 3.0192 3.0192 3.0192 0.0000 3.0192 3.0192 3.0192 0.0000" Properties=species:S:1:pos:R:3 comment="PBE UZnCo, relaxed" e_tot_ev_per_atom=-6.370 pbc="T T T"
Co 0.0000 0.0000 0.0000
Zn 4.5288 4.5288 4.5288
U 1.5096 1.5096 1.5096

***

Number 1: energy of formation from the pure elements -0.2239 eV per atom. Number 2: energy of formation from the pure elements -0.2177 eV per atom. Number 3: energy of formation from the pure elements -0.2042 eV per atom. Number 4: energy of formation from the pure elements -0.1692 eV per atom. Number 5: energy of formation from the pure elements 0.6838 eV per atom. Number 6: energy of formation from the pure elements 0.2594 eV per atom. Number 7: energy of formation from the pure elements 0.0628 eV per atom. Number 8: energy of formation from the pure elements -0.2617 eV per atom. Number 9: energy of formation from the pure elements 1.1080 eV per atom. Number 10: energy of formation from the pure elements 0.7738 eV per atom. Number 11: energy of formation from the pure elements -0.0274 eV per atom. Number 12: energy of formation from the pure elements 0.5199 eV per atom. Number 13: energy of formation from the pure elements -0.2248 eV per atom. Number 14: energy of formation from the pure elements -0.1623 eV per atom. Number 15: energy of formation from the pure elements 0.2582 eV per atom. Number 16: energy of formation from the pure elements 1.0701 eV per atom. Number 17: energy of formation from the pure elements 0.6252 eV per atom. Number 18: energy of formation from the pure elements 0.9891 eV per atom. Number 19: energy of formation from the pure elements 0.9150 eV per atom. Number 20: energy of formation from the pure elements 0.1859 eV per atom.